FeNClF2 | PBE with a Hubbard U | optimized geometry

Unit cell a=3.8184 b=3.8184 c=4.6614 alpha=90.00 beta=90.00 gamma=90.00
Last column: magnetic moment on the atom in μB.
Fractional positions:
1 N 0.0000 0.0000 0.5000  0.95
2 F 0.0000 0.5000 0.0000  0.14
3 F 0.5000 0.0000 0.0000  0.14
4 Fe 0.0000 0.0000 0.0000  4.42
5 Cl 0.5000 0.5000 0.5000  -0.10

Summary:
space-group type = P4/mmm (123)
total magnetization = 5.99 μB/f.u.
total DFT energy (no corrections) = -4.29 eV/atom
theoretical density = 3.50 g cm⁻³
offset from the most stable computed form = 0.0 meV per atom